Entry from Alexandria via LeMat-Bulk: a relaxed Tb5Tl crystal (PBE).

Properties
**Energy of formation from the pure elements**: -0.108 eV/atom
**Energy above the most stable polymorph in this dataset**: 0.000 eV per atom

Cell lengths 4.880, 4.878, 7.980 Å; angles 107.80, 90.00, 90.00 degrees
Positions (direct):
Tb 0.500 0.168 0.337
Tl 0.000 0.000 0.000
Tb 0.000 0.662 0.325
Tb 0.500 0.832 0.663
Tb 0.500 0.500 0.000
Tb 0.000 0.338 0.675